First-principles (GGA-PBE) data for a relaxed CsSrMg2P crystal, as listed in Alexandria via LeMat-Bulk.

Lattice parameters (Å, degrees): 6.1302 6.1302 7.4063 90.00 90.00 90.00
Positions (direct):
Cs: 0.0000 0.0000 0.0000
Sr: 0.0000 0.0000 0.5000
Mg: 0.0000 0.5000 0.0000
Mg: 0.5000 0.0000 0.0000
P: 0.5000 0.5000 0.5000

Values from the calculation:
Fermi-level density of states in states/eV/cell: 4.54
E_form in meV/atom: 1384

=====

First-principles (GGA-PBE) data for a relaxed CsMgTlP crystal, as listed in Alexandria via LeMat-Bulk.

Lattice parameters (Å, degrees): 4.4559 4.4559 14.7153 90.00 90.00 90.00
Positions (direct):
Cs: 0.2500 0.2500 0.2208
Cs: 0.7500 0.7500 0.7792
Mg: 0.2500 0.7500 0.0000
Mg: 0.7500 0.2500 0.0000
Tl: 0.2500 0.7500 0.5000
Tl: 0.7500 0.2500 0.5000
P: 0.2500 0.2500 0.9055
P: 0.7500 0.7500 0.0945

Values from the calculation:
Fermi-level density of states in states/eV/cell: 7.91
E_form in meV/atom: -394

=====

First-principles (GGA-PBE) data for a relaxed Cs2MgZnP2 crystal, as listed in Alexandria via LeMat-Bulk.

Lattice parameters (Å, degrees): 10.2432 10.2432 10.2432 144.80 50.84 144.52
Positions (direct):
Cs: 0.1645 0.2458 0.4102
Cs: 0.3355 0.7458 0.0813
Cs: 0.6645 0.2542 0.9187
Cs: 0.8355 0.7542 0.5898
Mg: 0.2500 0.7500 0.5000
Mg: 0.7500 0.2500 0.5000
Zn: 0.2500 0.2500 0.0000
Zn: 0.7500 0.7500 0.0000
P: 0.0745 0.7607 0.8352
P: 0.4255 0.2607 0.6862
P: 0.5745 0.7393 0.3138
P: 0.9255 0.2393 0.1648

Values from the calculation:
E_form in meV/atom: -493

=====

First-principles (GGA-PBE) data for a relaxed CsMgPaS4 crystal, as listed in Alexandria via LeMat-Bulk.

Lattice parameters (Å, degrees): 8.7768 8.7768 8.7768 128.01 122.70 81.02
Positions (direct):
Cs: 0.4168 0.1668 0.2500
Cs: 0.5832 0.8332 0.7500
Mg: 0.0000 0.0000 0.5000
Mg: 0.0000 0.5000 0.0000
Pa: 0.0000 0.5000 0.5000
Pa: 0.5000 0.5000 0.0000
S: 0.1413 0.6976 0.4438
S: 0.2452 0.2820 0.5368
S: 0.2452 0.7084 0.9632
S: 0.2462 0.3024 0.9438
S: 0.7538 0.6976 0.0562
S: 0.7548 0.2916 0.0368
S: 0.7548 0.7180 0.4632
S: 0.8587 0.3024 0.5562

Values from the calculation:
Fermi-level density of states in states/eV/cell: 0.00
Formation energy without anion corrections in meV per atom: -1348

=====

First-principles (GGA-PBE) data for a relaxed Cs2MgPaS4 crystal, as listed in Alexandria via LeMat-Bulk.

Lattice parameters (Å, degrees): 14.9536 13.3512 8.1810 84.33 62.68 32.98
Positions (direct):
Cs: 0.0544 0.0544 0.6956
Cs: 0.3044 0.3044 0.9456
Cs: 0.6956 0.6956 0.0544
Cs: 0.9456 0.9456 0.3044
Mg: 0.3750 0.3750 0.3750
Mg: 0.6250 0.6250 0.6250
Pa: 0.1250 0.1250 0.1250
Pa: 0.8750 0.8750 0.8750
S: 0.0125 0.3364 0.4300
S: 0.2789 0.5700 0.6636
S: 0.3364 0.0125 0.7211
S: 0.4300 0.7211 0.0125
S: 0.5700 0.2789 0.9875
S: 0.6636 0.9875 0.2789
S: 0.7211 0.4300 0.3364
S: 0.9875 0.6636 0.5700

Values from the calculation:
Formation energy without anion corrections in meV per atom: -1285

=====

First-principles (GGA-PBE) data for a relaxed Cs3Mg2PaS6 crystal, as listed in Alexandria via LeMat-Bulk.

Lattice parameters (Å, degrees): 6.9065 6.9065 8.3419 97.87 97.87 120.09
Positions (direct):
Cs: 0.0000 0.0000 0.0000
Cs: 0.3295 0.6705 0.0000
Cs: 0.6705 0.3295 0.0000
Mg: 0.1662 0.8338 0.5000
Mg: 0.8338 0.1662 0.5000
Pa: 0.5000 0.5000 0.5000
S: 0.1114 0.4407 0.3243
S: 0.2303 0.2303 0.6780
S: 0.4407 0.1114 0.3243
S: 0.5593 0.8886 0.6757
S: 0.7697 0.7697 0.3220
S: 0.8886 0.5593 0.6757

Values from the calculation:
Fermi-level density of states in states/eV/cell: 0.00
Formation energy without anion corrections in meV per atom: -1403

=====

First-principles (GGA-PBE) data for a relaxed Cs2MgPaSe4 crystal, as listed in Alexandria via LeMat-Bulk.

Lattice parameters (Å, degrees): 7.2867 4.2593 8.7342 90.00 106.86 90.00
Positions (direct):
Cs: 0.0000 0.0000 0.0000
Cs: 0.5000 0.5000 0.0000
Mg: 0.0000 0.5000 0.5000
Pa: 0.5000 0.0000 0.5000
Se: 0.2238 0.0000 0.6758
Se: 0.2724 0.5000 0.3123
Se: 0.7276 0.5000 0.6877
Se: 0.7762 0.0000 0.3242

Values from the calculation:
Fermi-level density of states in states/eV/cell: 5.87
Formation energy without anion corrections in meV per atom: -1296

=====

First-principles (GGA-PBE) data for a relaxed Cs2MgPa2Se6 crystal, as listed in Alexandria via LeMat-Bulk.

Lattice parameters (Å, degrees): 7.1915 7.1915 8.9451 97.59 97.59 119.92
Positions (direct):
Cs: 0.1657 0.8343 0.0000
Cs: 0.8343 0.1657 0.0000
Mg: 0.0000 0.0000 0.5000
Pa: 0.3341 0.6659 0.5000
Pa: 0.6659 0.3341 0.5000
Se: 0.0597 0.3918 0.6812
Se: 0.2690 0.2690 0.3195
Se: 0.3918 0.0597 0.6812
Se: 0.6082 0.9403 0.3188
Se: 0.7310 0.7310 0.6805
Se: 0.9403 0.6082 0.3188

Values from the calculation:
Fermi-level density of states in states/eV/cell: 12.31
Formation energy without anion corrections in meV per atom: -1355

=====

First-principles (GGA-PBE) data for a relaxed Cs2MgPaTe4 crystal, as listed in Alexandria via LeMat-Bulk.

Lattice parameters (Å, degrees): 7.7008 7.7008 7.7008 104.61 104.61 119.71
Positions (direct):
Cs: 0.0000 0.5000 0.5000
Cs: 0.5000 0.0000 0.5000
Mg: 0.0000 0.0000 0.0000
Pa: 0.5000 0.5000 0.0000
Te: 0.0765 0.4061 0.0000
Te: 0.4061 0.0765 0.0000
Te: 0.5939 0.5939 0.6704
Te: 0.9235 0.9235 0.3296

Values from the calculation:
Fermi-level density of states in states/eV/cell: 3.63
Formation energy without anion corrections in meV per atom: -860

=====

First-principles (GGA-PBE) data for a relaxed CsMgPaTe4 crystal, as listed in Alexandria via LeMat-Bulk.

Lattice parameters (Å, degrees): 7.4086 7.7205 9.9125 90.00 95.52 90.00
Positions (direct):
Cs: 0.2128 0.2500 0.0460
Cs: 0.7872 0.7500 0.9540
Mg: 0.3484 0.2500 0.6495
Mg: 0.6516 0.7500 0.3505
Pa: 0.1815 0.7500 0.4507
Pa: 0.8185 0.2500 0.5493
Te: 0.0906 0.5108 0.6901
Te: 0.0906 0.9892 0.6901
Te: 0.3350 0.7500 0.1798
Te: 0.4566 0.2500 0.3937
Te: 0.5434 0.7500 0.6063
Te: 0.6650 0.2500 0.8202
Te: 0.9094 0.0108 0.3099
Te: 0.9094 0.4892 0.3099

Values from the calculation:
Formation energy without anion corrections in meV per atom: -865

=====

First-principles (GGA-PBE) data for a relaxed CsMgPb2 crystal, as listed in Alexandria via LeMat-Bulk.

Lattice parameters (Å, degrees): 3.9384 3.9384 8.9128 90.00 90.00 90.00
Positions (direct):
Cs: 0.0000 0.0000 0.0000
Mg: 0.0000 0.0000 0.5000
Pb: 0.5000 0.5000 0.3202
Pb: 0.5000 0.5000 0.6798

Values from the calculation:
Fermi-level density of states in states/eV/cell: 1.13
E_form in meV/atom: -125

=====

First-principles (GGA-PBE) data for a relaxed CsMgPb2 crystal, as listed in Alexandria via LeMat-Bulk.

Lattice parameters (Å, degrees): 7.9753 7.9753 7.9753 36.88 36.88 36.88
Positions (direct):
Cs: 0.0000 0.0000 0.0000
Mg: 0.5000 0.5000 0.5000
Pb: 0.2087 0.2087 0.2087
Pb: 0.7913 0.7913 0.7913

Values from the calculation:
Fermi-level density of states in states/eV/cell: 2.94
E_form in meV/atom: -83

=====

First-principles (GGA-PBE) data for a relaxed CsMgPb3 crystal, as listed in Alexandria via LeMat-Bulk.

Lattice parameters (Å, degrees): 7.7998 7.7998 6.7720 90.00 90.00 120.00
Positions (direct):
Cs: 0.3333 0.6667 0.2500
Cs: 0.6667 0.3333 0.7500
Mg: 0.0000 0.0000 0.0000
Mg: 0.0000 0.0000 0.5000
Pb: 0.1922 0.3844 0.7500
Pb: 0.1922 0.8078 0.7500
Pb: 0.3844 0.1922 0.2500
Pb: 0.6156 0.8078 0.7500
Pb: 0.8078 0.1922 0.2500
Pb: 0.8078 0.6156 0.2500

Values from the calculation:
Energy relative to the lowest polymorph listed for this composition in meV per atom: 121.0
Fermi-level density of states in states/eV/cell: 4.38
E_form in meV/atom: 18

=====

First-principles (GGA-PBE) data for a relaxed Cs3Mg3Pb8 crystal, as listed in Alexandria via LeMat-Bulk.

Lattice parameters (Å, degrees): 10.4756 10.4756 11.9521 115.45 115.45 26.87
Positions (direct):
Cs: 0.0000 0.0000 0.0000
Cs: 0.2880 0.2880 0.3250
Cs: 0.7120 0.7120 0.6750
Mg: 0.0000 0.0000 0.5000
Mg: 0.3436 0.3436 0.9692
Mg: 0.6564 0.6564 0.0308
Pb: 0.1125 0.1125 0.4086
Pb: 0.1819 0.1819 0.9091
Pb: 0.3851 0.3851 0.7492
Pb: 0.4695 0.4695 0.2752
Pb: 0.5305 0.5305 0.7248
Pb: 0.6149 0.6149 0.2508
Pb: 0.8181 0.8181 0.0909
Pb: 0.8875 0.8875 0.5914

Values from the calculation:
Fermi-level density of states in states/eV/cell: 4.20
E_form in meV/atom: -51

=====

First-principles (GGA-PBE) data for a relaxed CsMg12Pb6 crystal, as listed in Alexandria via LeMat-Bulk.

Lattice parameters (Å, degrees): 8.7125 8.7125 8.7125 104.40 104.40 104.40
Positions (direct):
Cs: 0.0000 0.0000 0.0000
Mg: 0.1607 0.5000 0.8393
Mg: 0.1607 0.8393 0.5000
Mg: 0.2080 0.4690 0.4690
Mg: 0.4690 0.2080 0.4690
Mg: 0.4690 0.4690 0.2080
Mg: 0.5000 0.1607 0.8393
Mg: 0.5000 0.8393 0.1607
Mg: 0.5310 0.5310 0.7920
Mg: 0.5310 0.7920 0.5310
Mg: 0.7920 0.5310 0.5310
Mg: 0.8393 0.1607 0.5000
Mg: 0.8393 0.5000 0.1607
Pb: 0.2004 0.2004 0.6202
Pb: 0.2004 0.6202 0.2004
Pb: 0.3798 0.7996 0.7996
Pb: 0.6202 0.2004 0.2004
Pb: 0.7996 0.3798 0.7996
Pb: 0.7996 0.7996 0.3798

Values from the calculation:
Fermi-level density of states in states/eV/cell: 5.47
E_form in meV/atom: -13

=====

First-principles (GGA-PBE) data for a relaxed CsMg3Pb4 crystal, as listed in Alexandria via LeMat-Bulk.

Lattice parameters (Å, degrees): 11.6315 11.6315 11.6315 26.15 26.15 26.15
Positions (direct):
Cs: 0.0000 0.0000 0.0000
Mg: 0.2319 0.2319 0.2319
Mg: 0.5000 0.5000 0.5000
Mg: 0.7681 0.7681 0.7681
Pb: 0.1327 0.1327 0.1327
Pb: 0.4104 0.4104 0.4104
Pb: 0.5896 0.5896 0.5896
Pb: 0.8673 0.8673 0.8673

Values from the calculation:
Fermi-level density of states in states/eV/cell: 4.85
E_form in meV/atom: -79

=====

First-principles (GGA-PBE) data for a relaxed CsMgPb3 crystal, as listed in Alexandria via LeMat-Bulk.

Lattice parameters (Å, degrees): 6.4264 6.4264 6.4264 90.00 90.00 90.00
Positions (direct):
Cs: 0.0000 0.0000 0.0000
Mg: 0.5000 0.5000 0.5000
Pb: 0.0000 0.0000 0.5000
Pb: 0.0000 0.5000 0.0000
Pb: 0.5000 0.0000 0.0000

Values from the calculation:
Energy relative to the lowest polymorph listed for this composition in meV per atom: 1370.9
Fermi-level density of states in states/eV/cell: 7.54
E_form in meV/atom: 1268

=====

First-principles (GGA-PBE) data for a relaxed CsMg3Pb crystal, as listed in Alexandria via LeMat-Bulk.

Lattice parameters (Å, degrees): 5.9266 5.9266 5.9266 90.00 90.00 90.00
Positions (direct):
Cs: 0.0000 0.0000 0.0000
Mg: 0.0000 0.5000 0.5000
Mg: 0.5000 0.0000 0.5000
Mg: 0.5000 0.5000 0.0000
Pb: 0.5000 0.5000 0.5000

Values from the calculation:
Energy relative to the lowest polymorph listed for this composition in meV per atom: 0.0
Fermi-level density of states in states/eV/cell: 5.00
E_form in meV/atom: 322

=====

First-principles (GGA-PBE) data for a relaxed Cs5MgPb6 crystal, as listed in Alexandria via LeMat-Bulk.

Lattice parameters (Å, degrees): 8.5934 8.5934 10.4284 96.75 96.75 124.19
Positions (direct):
Cs: 0.0000 0.0000 0.0000
Cs: 0.1568 0.8432 0.5000
Cs: 0.2684 0.7316 0.0000
Cs: 0.7316 0.2684 0.0000
Cs: 0.8432 0.1568 0.5000
Mg: 0.5000 0.5000 0.5000
Pb: 0.2342 0.4503 0.2770
Pb: 0.3993 0.3993 0.8357
Pb: 0.4503 0.2342 0.2770
Pb: 0.5497 0.7658 0.7230
Pb: 0.6007 0.6007 0.1643
Pb: 0.7658 0.5497 0.7230

Values from the calculation:
Fermi-level density of states in states/eV/cell: 3.33
E_form in meV/atom: -107

=====

First-principles (GGA-PBE) data for a relaxed CsMgPb2 crystal, as listed in Alexandria via LeMat-Bulk.

Lattice parameters (Å, degrees): 6.8356 5.1587 9.3007 90.00 108.97 90.00
Positions (direct):
Cs: 0.2156 0.2500 0.4123
Cs: 0.7844 0.7500 0.5877
Mg: 0.2961 0.2500 0.9173
Mg: 0.7039 0.7500 0.0827
Pb: 0.2074 0.7500 0.0706
Pb: 0.3643 0.7500 0.7696
Pb: 0.6357 0.2500 0.2304
Pb: 0.7926 0.2500 0.9294

Values from the calculation:
Fermi-level density of states in states/eV/cell: 2.77
E_form in meV/atom: -112

=====

First-principles (GGA-PBE) data for a relaxed CsMg5Pb7 crystal, as listed in Alexandria via LeMat-Bulk.

Lattice parameters (Å, degrees): 8.4222 8.4222 8.4222 135.84 97.12 99.13
Positions (direct):
Cs: 0.0000 0.0000 0.0000
Mg: 0.0071 0.0075 0.5043
Mg: 0.0071 0.5028 0.9996
Mg: 0.2338 0.7338 0.5000
Mg: 0.5032 0.0075 0.0004
Mg: 0.5032 0.5028 0.4957
Pb: 0.2195 0.5120 0.7075
Pb: 0.3452 0.3452 0.0000
Pb: 0.3464 0.9981 0.3483
Pb: 0.6453 0.6453 0.0000
Pb: 0.6498 0.9981 0.6517
Pb: 0.7751 0.2751 0.5000
Pb: 0.8046 0.5120 0.2925

Values from the calculation:
Fermi-level density of states in states/eV/cell: 7.96
E_form in meV/atom: -45

=====

First-principles (GGA-PBE) data for a relaxed CsMg2Pb10 crystal, as listed in Alexandria via LeMat-Bulk.

Lattice parameters (Å, degrees): 11.5622 9.2371 8.3112 82.25 52.34 45.42
Positions (direct):
Cs: 0.0000 0.0000 0.0000
Mg: 0.0000 0.5000 0.0000
Mg: 0.5000 0.0000 0.5000
Pb: 0.0000 0.0000 0.5000
Pb: 0.0076 0.3550 0.6450
Pb: 0.2657 0.4886 0.5114
Pb: 0.3550 0.0076 0.9924
Pb: 0.4886 0.2657 0.7343
Pb: 0.5000 0.5000 0.0000
Pb: 0.5114 0.7343 0.2657
Pb: 0.6450 0.9924 0.0076
Pb: 0.7343 0.5114 0.4886
Pb: 0.9924 0.6450 0.3550

Values from the calculation:
Fermi-level density of states in states/eV/cell: 5.26
E_form in meV/atom: -51